Record 1
Crystalline PmNd2Cd4 at its relaxed geometry. Source: Alexandria via LeMat-Bulk, functional GGA-PBE.

```
7
Lattice="-0.831 -0.904 -5.589 -0.638 -5.598 1.000 -7.153 4.328 3.293" Properties=species:S:1:pos:R:3 pbc="T T T"
Nd -2.382 -3.026 -2.086
Nd -6.240 0.852 0.790
Cd -5.569 -2.591 -1.682
Cd -3.053 0.417 0.387
Cd -0.319 -2.799 0.500
Cd -0.416 -0.452 -2.795
Pm 0.000 0.000 0.000
```

Summary:
offset from the most stable computed form	0.419	eV per atom

=====

Record 2
Crystalline TbPr9Mg2 at its relaxed geometry. Source: Alexandria via LeMat-Bulk, functional GGA-PBE.

```
12
Lattice="5.112 0.000 0.000 0.000 5.112 0.000 0.000 0.000 15.405" Properties=species:S:1:pos:R:3 pbc="T T T"
Pr 2.556 0.000 2.620
Pr 2.556 2.556 0.000
Pr 2.556 0.000 12.784
Pr 2.556 2.556 10.237
Pr 0.000 2.556 12.784
Pr 0.000 2.556 7.702
Pr 2.556 2.556 5.167
Pr 0.000 2.556 2.620
Pr 2.556 0.000 7.702
Mg 0.000 0.000 5.189
Mg 0.000 0.000 10.216
Tb 0.000 0.000 0.000
```

Summary:
total DFT energy (no corrections)	-0.15585	hartree per atom

=====

Record 3
Crystalline Ba2Bi3 at its relaxed geometry. Source: Alexandria via LeMat-Bulk, functional GGA-PBE.

```
10
Lattice="5.165 0.000 0.000 0.000 8.789 0.000 0.000 0.000 8.789" Properties=species:S:1:pos:R:3 pbc="T T T"
Bi 0.000 4.394 4.394
Bi 0.000 3.265 7.660
Bi 0.000 7.660 5.523
Bi 0.000 0.000 0.000
Bi 0.000 5.523 1.129
Bi 0.000 1.129 3.265
Ba 2.582 1.540 5.934
Ba 2.582 7.248 2.854
Ba 2.582 5.934 7.248
Ba 2.582 2.854 1.540
```

Summary:
offset from the most stable computed form	0.042	eV per atom

=====

Record 4
Crystalline Ho5Sb4P at its relaxed geometry. Source: Alexandria via LeMat-Bulk, functional GGA-PBE.

```
10
Lattice="6.093 0.000 0.000 3.046 6.783 0.000 3.046 0.000 6.783" Properties=species:S:1:pos:R:3 pbc="T T T"
Sb 9.145 5.366 4.091
Sb 6.099 2.692 5.366
Sb 3.053 1.417 2.692
Sb 6.099 4.091 1.417
P 0.006 0.000 0.000
Ho 3.053 4.210 1.255
Ho 9.145 2.573 5.528
Ho 6.099 1.255 2.573
Ho 3.052 0.000 0.000
Ho 6.099 5.528 4.210
```

Summary:
ΔE_f (raw)	-11.8	eV/f.u.
offset from the most stable computed form	0.000	eV per atom

=====

- What is the formula in the fourth record?
  Ho5Sb4P